A relaxed Nd2SmZn2Si4Pd2 crystal, computed with PBE-GGA.

a = 12.907 Å, b = 12.907 Å, c = 12.907 Å
α = 161.75°, β = 161.17°, γ = 26.34°
Fractional coordinates of all 11 atoms:
Nd 0.646 0.146 0.500
Nd 0.354 0.854 0.500
Pd 0.906 0.406 0.500
Pd 0.094 0.594 0.500
Si 0.453 0.453 0.000
Si 0.547 0.547 0.000
Si 0.810 0.310 0.500
Si 0.190 0.690 0.500
Sm 0.000 0.000 0.000
Zn 0.250 0.250 0.000
Zn 0.750 0.750 0.000

## Properties
space-group type = Immm, No. 71
uncorrected energy = -0.3820 Ry per atom



A relaxed LiZnBiPd crystal, computed with PBE-GGA.

a = 4.668 Å, b = 4.668 Å, c = 4.668 Å
α = 60.00°, β = 60.00°, γ = 60.00°
Fractional coordinates of all 4 atoms:
Bi 0.500 0.500 0.500
Li 0.750 0.750 0.750
Pd 0.250 0.250 0.250
Zn 0.000 0.000 0.000

## Properties
space-group type = F-43m, No. 216
uncorrected energy = -0.2510 Ry per atom



A relaxed LaNi2GeSb crystal, computed with PBE-GGA.

a = 4.350 Å, b = 4.350 Å, c = 10.013 Å
α = 90.00°, β = 90.00°, γ = 90.00°
Fractional coordinates of all 10 atoms:
Ge 0.000 0.000 0.500
Ge 0.500 0.500 0.500
La 0.000 0.500 0.259
La 0.500 0.000 0.741
Ni 0.000 0.000 0.000
Ni 0.500 0.500 0.000
Ni 0.500 0.000 0.390
Ni 0.000 0.500 0.610
Sb 0.500 0.000 0.135
Sb 0.000 0.500 0.865

## Properties
space-group type = P4/nmm, No. 129
uncorrected energy = -0.4194 Ry per atom



A relaxed KCo3Sb5 crystal, computed with PBE-GGA.

a = 5.360 Å, b = 5.360 Å, c = 8.852 Å
α = 90.00°, β = 90.00°, γ = 120.00°
Each line ends with the local moment (μB).
Fractional coordinates of all 9 atoms:
Co 0.500 0.000 0.500  0.56
Co 0.000 0.500 0.500  0.43
Co 0.500 0.500 0.500  0.64
K 0.000 0.000 0.000  0.00
Sb 0.667 0.333 0.263  0.00
Sb 0.333 0.667 0.263  0.00
Sb 0.000 0.000 0.500  0.00
Sb 0.667 0.333 0.737  0.00
Sb 0.333 0.667 0.737  0.00

## Properties
space-group type = P6/mmm, No. 191
uncorrected energy = -0.3609 Ry per atom



A relaxed TbTcF crystal, computed with PBE-GGA.

a = 3.787 Å, b = 3.787 Å, c = 3.787 Å
α = 78.87°, β = 78.87°, γ = 78.87°
Each line ends with the local moment (μB).
Fractional coordinates of all 3 atoms:
F 0.438 0.438 0.438  0.03
Tb 0.724 0.724 0.724  -0.12
Tc 0.168 0.168 0.168  1.05

## Properties
space-group type = R3m, No. 160
uncorrected energy = -0.4485 Ry per atom



A relaxed NdMgCuTe3 crystal, computed with PBE-GGA.

a = 4.178 Å, b = 7.296 Å, c = 11.616 Å
α = 90.00°, β = 90.00°, γ = 73.36°
Fractional coordinates of all 12 atoms:
Cu 0.523 0.954 0.250
Cu 0.477 0.046 0.750
Mg 0.227 0.546 0.250
Mg 0.773 0.454 0.750
Nd 0.000 0.000 0.000
Nd 0.000 0.000 0.500
Te 0.653 0.695 0.083
Te 0.900 0.200 0.250
Te 0.653 0.695 0.417
Te 0.347 0.305 0.583
Te 0.100 0.800 0.750
Te 0.347 0.305 0.917

## Properties
space-group type = Cmcm, No. 63
uncorrected energy = -0.2973 Ry per atom